Compound: AsWSe2
Source: the Alexandria database
Functional: GGA-PBE
Structure: optimized geometry

Lattice parameters (Å, degrees): 6.835 6.835 6.835 153.02 143.30 46.14
Fractional positions:
As  0.000  0.000  0.000
W  0.500  0.500  0.000
Se  0.335  0.835  0.500
Se  0.665  0.165  0.500

Density of states at the Fermi level in states/eV per cell: 3.13
Crystal system: orthorhombic
Formation energy (no corrections) in eV per atom: 0.2338
E in eV per cell: -23.6